Below is a relaxed CuAg2Br crystal, with properties calculated at the PBE-GGA level.

- SG = I4/mmm
- ΔE_f (raw) (meV/atom) = 320
- calculated volume (A^3/atom) = 19.22
- uncorrected energy (eV/atom) = -2.548
- density (g/cm³) = 7.76
- excess energy over the best structure of this formula in the dataset (meV per atom) = 284

a = 5.6583 Å, b = 5.6583 Å, c = 5.6583 Å
α = 139.11°, β = 139.11°, γ = 59.21°
Fractional coordinates of all 4 atoms:
Cu 0.0000 0.0000 0.0000
Ag 0.2500 0.7500 0.5000
Ag 0.7500 0.2500 0.5000
Br 0.5000 0.5000 0.0000